Record 1
Here is crystalline U2TlCuO8 at its relaxed geometry from Alexandria. Energies are from PBE-GGA.

```
12
Lattice="3.428 -3.521 0.000 3.428 3.521 0.000 0.000 0.000 7.025" Properties=species:S:1:pos:R:3 pbc="T T T"
U 0.000 0.000 1.711
U 0.000 0.000 5.314
Tl 3.428 0.000 3.513
Cu 3.428 0.000 0.000
O 3.428 2.254 3.513
O 3.428 2.233 0.000
O 1.999 0.000 1.704
O 1.999 0.000 5.321
O 4.857 0.000 1.704
O 4.857 0.000 5.321
O 3.428 -2.233 0.000
O 3.428 -2.254 3.513
```

raw formation energy	-2.19	eV per atom
DOS at the Fermi energy	8.8	states/eV/cell
density	8.54	g/cm³


Record 2
Here is crystalline UTl2Cu2O6 at its relaxed geometry from Alexandria. Energies are from PBE-GGA.

```
11
Lattice="3.046 1.759 5.725 -3.046 1.759 5.725 0.000 -3.518 5.725" Properties=species:S:1:pos:R:3 pbc="T T T"
U 0.000 0.000 0.000
Tl 0.000 0.000 3.699
Tl 0.000 0.000 13.475
Cu 0.000 0.000 7.016
Cu 0.000 0.000 10.158
O 0.000 -1.856 6.994
O -1.607 0.928 6.994
O -1.607 -0.928 10.180
O 1.607 0.928 6.994
O 1.607 -0.928 10.180
O 0.000 1.856 10.180
```

raw formation energy	-1.45	eV per atom
DOS at the Fermi energy	7.0	states/eV/cell
density	7.85	g/cm³